The following is a PBE-GGA calculation of a geometry-optimized NaAl4Pd structure, from the Alexandria database.

a b c (Å): 8.086 3.985 6.889
angles (deg): 90.00 90.00 90.00
Element x y z (fractional)
Na  0.250  0.000  0.105
Na  0.750  0.000  0.895
Al  0.000  0.000  0.500
Al  0.055  0.500  0.805
Al  0.250  0.500  0.439
Al  0.445  0.500  0.805
Al  0.500  0.000  0.500
Al  0.555  0.500  0.195
Al  0.750  0.500  0.561
Al  0.945  0.500  0.195
Pd  0.250  0.000  0.693
Pd  0.750  0.000  0.307

Calculated values
Distance to the lowest polymorph of the same formula   0.0000 eV per atom
Total DFT energy (no corrections)   -0.143 Ha/atom
DOS at the Fermi energy   2.425 states/eV per cell
Calculated formation energy   -0.299 eV per atom